{
  "formula": "Nd4YTm7",
  "functional": "GGA-PBE",
  "state": "optimized geometry",
  "e_above_lowest_polymorph_ev_per_atom": 0.185,
  "lattice": [[6.053, -2.934, 0.000], [6.053, 2.934, 0.000], [-6.043, 0.000, 11.243]],
  "species": ["Nd", "Nd", "Nd", "Nd", "Y", "Tm", "Tm", "Tm", "Tm", "Tm", "Tm", "Tm"],
  "fractional_positions": [[0.139, 0.139, 0.278], [0.278, 0.278, 0.835], [0.722, 0.722, 0.165], [0.861, 0.861, 0.722], [0.500, 0.500, 0.500], [0.000, 0.000, 0.500], [0.132, 0.132, 0.994], [0.287, 0.287, 0.576], [0.431, 0.431, 0.188], [0.569, 0.569, 0.812], [0.713, 0.713, 0.424], [0.868, 0.868, 0.006]]
}

{
  "formula": "Nd3Y2Tm3",
  "functional": "GGA-PBE",
  "state": "optimized geometry",
  "e_above_lowest_polymorph_ev_per_atom": 0.000,
  "lattice": [[5.040, 0.000, 0.000], [0.000, 5.081, 0.000], [0.000, 0.000, 20.316]],
  "species": ["Nd", "Nd", "Nd", "Nd", "Nd", "Nd", "Y", "Y", "Y", "Y", "Tm", "Tm", "Tm", "Tm", "Tm", "Tm"],
  "fractional_positions": [[0.000, 0.000, 0.000], [0.000, 0.500, 0.124], [0.000, 0.500, 0.876], [0.500, 0.000, 0.376], [0.500, 0.000, 0.624], [0.500, 0.500, 0.500], [0.000, 0.000, 0.249], [0.000, 0.000, 0.751], [0.500, 0.500, 0.251], [0.500, 0.500, 0.749], [0.000, 0.000, 0.500], [0.000, 0.500, 0.375], [0.000, 0.500, 0.625], [0.500, 0.000, 0.125], [0.500, 0.000, 0.875], [0.500, 0.500, 0.000]]
}

{
  "formula": "Nd3Y8Tm4",
  "functional": "GGA-PBE",
  "state": "optimized geometry",
  "lattice": [[6.742, -6.397, 0.000], [6.742, 6.397, 0.000], [-3.353, 0.000, 5.843]],
  "species": ["Nd", "Nd", "Nd", "Y", "Y", "Y", "Y", "Y", "Y", "Y", "Y", "Tm", "Tm", "Tm", "Tm"],
  "fractional_positions": [[0.000, 0.000, 0.000], [0.000, 0.500, 0.500], [0.500, 0.000, 0.500], [0.145, 0.855, 0.500], [0.228, 0.228, 0.519], [0.248, 0.248, 0.019], [0.251, 0.749, 0.000], [0.749, 0.251, 0.000], [0.752, 0.752, 0.981], [0.772, 0.772, 0.481], [0.855, 0.145, 0.500], [0.000, 0.500, 0.000], [0.500, 0.000, 0.000], [0.500, 0.500, 0.000], [0.500, 0.500, 0.500]]
}

One value per record, in order, for volume: 33.275 32.514 33.594 Å³/atom.
One value per record, in order, for ΔE_f: 6.29 0.55 9.25 kcal/mol of atoms.